# ErThGe2O8, relaxed, DFT PBE-GGA
data_ErThGe2O8
_chemical_formula_sum 'Er2 Th2 Ge4 O16'
_cell_length_a 7.153
_cell_length_b 7.153
_cell_length_c 6.579
_cell_angle_alpha 90.00
_cell_angle_beta 90.00
_cell_angle_gamma 90.00
_symmetry_space_group_name_H-M 'I -4 m 2'
_symmetry_Int_Tables_number 119
_symmetry_space_group_name_Hall 'I -4 -2'
loop_
_atom_site_label
_atom_site_type_symbol
_atom_site_fract_x
_atom_site_fract_y
_atom_site_fract_z
Er1 Er 0.000 0.000 0.000
Th1 Th 0.000 0.500 0.250
Ge1 Ge 0.000 0.000 0.500
Ge2 Ge 0.000 0.500 0.750
O1 O 0.000 0.180 0.316
O2 O 0.000 0.314 0.929
# Calculated volume in A^3/atom: 14.0
# Raw formation energy in eV per atom: -2.503
# Density of states at the Fermi level in states/eV per atom: 0.77

# ErGe2Os2, relaxed, DFT PBE-GGA
data_ErGe2Os2
_chemical_formula_sum 'Er2 Ge4 Os4'
_cell_length_a 5.733
_cell_length_b 5.763
_cell_length_c 6.636
_cell_angle_alpha 90.33
_cell_angle_beta 114.03
_cell_angle_gamma 116.34
_symmetry_space_group_name_H-M 'P -1'
_symmetry_Int_Tables_number 2
loop_
_symmetry_equiv_pos_as_xyz
'x,y,z'
'-x,-y,-z'
loop_
_atom_site_label
_atom_site_type_symbol
_atom_site_fract_x
_atom_site_fract_y
_atom_site_fract_z
Er1 Er 0.180 0.236 0.341
Ge1 Ge 0.274 0.781 0.548
Ge2 Ge 0.366 0.129 0.008
Os1 Os 0.216 0.422 0.798
Os2 Os 0.302 0.732 0.182
# Calculated volume in A^3/atom: 17.5
# Density of states at the Fermi level in states/eV per atom: 0.53
# ΔE_f in eV per atom: -0.15

- Which of these has the highest calculated volume?
  ErGe2Os2